Here is a relaxed CeSCl crystal from Alexandria via LeMat-Bulk. Energies are from PBE.

```
CeSCl
1.0
-1.731 6.464 1.476
-2.801 0.699 -6.345
-11.947 -4.296 4.801
Ce S Cl
8 8 8
direct
0.256 0.964 0.902
0.744 0.036 0.098
0.244 0.464 0.098
0.744 0.536 0.402
0.756 0.536 0.902
0.256 0.464 0.598
0.756 0.036 0.598
0.244 0.964 0.402
0.999 0.743 0.524
0.001 0.257 0.476
0.501 0.243 0.476
0.001 0.757 0.024
0.499 0.757 0.524
0.999 0.243 0.976
0.499 0.257 0.976
0.501 0.743 0.024
0.124 0.629 0.785
0.876 0.371 0.215
0.376 0.129 0.215
0.876 0.871 0.285
0.624 0.871 0.785
0.124 0.129 0.715
0.624 0.371 0.715
0.376 0.629 0.285
```

Computed properties:
**Formation energy without anion corrections**: -6.3 eV/f.u.
**Size of the total moment**: 8.0 μB/cell
**Total energy**: -6.06 eV/atom